The following is a DFT calculation (PBE) of a relaxed NaLiZrBr6 crystal.

Values from the calculation:
DOS at the Fermi energy ... 0.00 states/eV/cell
VASP energy ... -3.874 eV per atom
V ... 30.6 A^3/atom
Raw formation energy ... -1450 meV/atom
Total magnetic moment ... 0.00 Bohr magnetons per cell

CIF file:
```
data_NaLiZrBr6
_chemical_formula_sum 'Na2 Li2 Zr2 Br12'
_symmetry_space_group_name_H-M 'P -3 1 c'
_symmetry_Int_Tables_number 163
_symmetry_space_group_name_Hall '-P 3 2c'
_cell_length_a 6.9566
_cell_length_b 6.9566
_cell_length_c 13.1395
_cell_angle_alpha 90.00
_cell_angle_beta 90.00
_cell_angle_gamma 120.00
loop_
_atom_site_label
_atom_site_fract_x
_atom_site_fract_y
_atom_site_fract_z
Na1 0.0000 0.0000 0.0000
Li1 0.3333 0.6667 0.2500
Zr1 0.3333 0.6667 0.7500
Br1 0.0112 0.3646 0.6339
```